Record 1
Here is a relaxed structure of KSiRu from Alexandria via LeMat-Bulk. Energies are from GGA-PBE.

abc: 4.9570 4.9570 2.6470
angles: 90.00 90.00 120.00
Sites, in units of the cell vectors:
K1 0.0000 0.0000 0.9996
Ru1 0.6667 0.3333 0.5001
Si1 0.3333 0.6667 0.5003

D(E_F) = 0.480 states/eV/atom
E_form (uncorrected) = 0.864 eV/atom
Excess energy over the best structure of this formula in the dataset = 778 meV/atom
DFT total energy = -4.401 eV per atom


Record 2
Here is a relaxed structure of K3SiRu from Alexandria via LeMat-Bulk. Energies are from GGA-PBE.

abc: 6.3543 6.3543 6.3543
angles: 90.00 90.00 90.00
Sites, in units of the cell vectors:
Ru1 0.5000 0.5000 0.5000
K1 0.0000 0.5000 0.0000
K2 0.0000 0.0000 0.5000
K3 0.5000 0.0000 0.0000
Si1 0.0000 0.0000 0.0000

D(E_F) = 3.184 states/eV/atom
E_form (uncorrected) = 1.366 eV/atom
Excess energy over the best structure of this formula in the dataset = 0 meV/atom
DFT total energy = -2.232 eV per atom


Record 3
Here is a relaxed structure of KSiRu2 from Alexandria via LeMat-Bulk. Energies are from GGA-PBE.

abc: 3.6102 2.8117 7.8454
angles: 79.26 90.00 90.00
Sites, in units of the cell vectors:
K1 0.5000 0.7500 0.7500
Ru1 0.0000 0.0341 0.0928
Ru2 0.0000 0.4659 0.4072
Si1 0.5000 0.2500 0.2500

D(E_F) = 0.869 states/eV/atom
E_form (uncorrected) = 0.430 eV/atom
DFT total energy = -5.838 eV per atom


Record 4
Here is a relaxed structure of KSiRu2 from Alexandria via LeMat-Bulk. Energies are from GGA-PBE.

abc: 4.8475 4.8475 6.4876
angles: 76.51 76.51 34.27
Sites, in units of the cell vectors:
K1 0.2500 0.2500 0.2500
Ru1 0.0462 0.0462 0.8835
Ru2 0.4538 0.4538 0.6165
Si1 0.7500 0.7500 0.7500

D(E_F) = 1.125 states/eV/atom
E_form (uncorrected) = 0.357 eV/atom
DFT total energy = -5.911 eV per atom